(1)
Compound: Sr3TiNb4O15
Source: the Alexandria database
Functional: GGA-PBE
Structure: optimized geometry

POSCAR file:
```
Sr3TiNb4O15
1.0
3.953 0.000 0.000
0.000 12.750 0.000
-0.059 0.000 12.828
Sr Ti Nb O
6 2 8 30
direct
0.000 0.025 0.000
0.000 0.975 0.500
0.004 0.250 0.631
0.004 0.750 0.131
0.998 0.377 0.346
0.998 0.623 0.846
0.487 0.179 0.427
0.487 0.821 0.927
0.476 0.240 0.133
0.476 0.760 0.633
0.507 0.466 0.561
0.507 0.534 0.061
0.508 0.041 0.723
0.508 0.959 0.223
0.509 0.334 0.848
0.509 0.666 0.348
0.003 0.243 0.122
0.003 0.757 0.622
0.009 0.044 0.695
0.009 0.330 0.820
0.009 0.449 0.537
0.009 0.551 0.037
0.009 0.670 0.320
0.009 0.956 0.195
0.013 0.174 0.421
0.013 0.826 0.921
0.508 0.087 0.119
0.508 0.254 0.281
0.508 0.746 0.781
0.508 0.913 0.619
0.509 0.185 0.758
0.509 0.382 0.683
0.509 0.475 0.900
0.509 0.525 0.400
0.509 0.618 0.183
0.509 0.815 0.258
0.510 0.020 0.356
0.510 0.252 0.968
0.510 0.317 0.477
0.510 0.683 0.977
0.510 0.748 0.468
0.510 0.980 0.856
0.512 0.112 0.556
0.512 0.404 0.129
0.512 0.596 0.629
0.512 0.888 0.056
```

## Properties
Space group ... Pc
Volume ... 647 Å³ per cell



(2)
Compound: SrTiNb2O8
Source: the Alexandria database
Functional: GGA-PBE
Structure: optimized geometry

POSCAR file:
```
SrTiNb2O8
1.0
4.071 -3.152 0.000
4.071 3.152 0.000
-1.159 0.000 6.910
Sr Ti Nb O
1 1 2 8
direct
0.000 0.000 0.000
0.000 0.000 0.500
0.421 0.421 0.754
0.579 0.579 0.246
0.219 0.777 0.295
0.223 0.781 0.705
0.241 0.241 0.553
0.332 0.332 0.982
0.668 0.668 0.018
0.759 0.759 0.447
0.777 0.219 0.295
0.781 0.223 0.705
```

## Properties
Space group ... C2/m
Volume ... 177 Å³ per cell



For the records above, the corresponding formation energy without anion corrections values read -2.8217; -2.7320 eV/atom.